Density functional theory data (PBE) for an optimized crystal structure of Pr6Ge2RuCl3.

Cell: 9.6184 9.6184 8.8279 Å, 103.50 103.50 25.32°
Sites, in units of the cell vectors:
1 Pr 0.0031 0.0031 0.2250
2 Pr 0.3277 0.3277 0.4257
3 Pr 0.3493 0.3493 0.9037
4 Pr 0.6507 0.6507 0.0963
5 Pr 0.6723 0.6723 0.5743
6 Pr 0.9969 0.9969 0.7750
7 Ge 0.1651 0.1651 0.3395
8 Ge 0.8349 0.8349 0.6605
9 Ru 0.5000 0.5000 0.0000
10 Cl 0.1739 0.1739 0.8382
11 Cl 0.5000 0.5000 0.5000
12 Cl 0.8261 0.8261 0.1618

Calculated values
DFT total energy (eV per atom): -5.509
DOS(E_F) (states/eV/f.u.): 7.151
Formation energy (no corrections) (meV per atom): -1115